No. 1
A geometry-optimized Tb3IrAu structure. Source: Alexandria via LeMat-Bulk, functional PBE.

Lattice parameters (Å, degrees): 7.479 4.460 15.325 90.00 90.00 90.00
Fractional positions:
Tb  0.015  0.250  0.099
Tb  0.133  0.750  0.446
Tb  0.179  0.250  0.721
Tb  0.321  0.750  0.221
Tb  0.367  0.250  0.946
Tb  0.485  0.750  0.599
Tb  0.515  0.250  0.401
Tb  0.633  0.750  0.054
Tb  0.679  0.250  0.779
Tb  0.821  0.750  0.279
Tb  0.867  0.250  0.554
Tb  0.985  0.750  0.901
Ir  0.236  0.750  0.045
Ir  0.264  0.250  0.545
Ir  0.736  0.750  0.455
Ir  0.764  0.250  0.955
Au  0.112  0.250  0.304
Au  0.388  0.750  0.804
Au  0.612  0.250  0.196
Au  0.888  0.750  0.696

## Properties
E ... -5.969 eV per atom
Formation energy ... -73.60 kJ/mol of atoms


No. 2
A geometry-optimized Nb2PbBr structure. Source: Alexandria via LeMat-Bulk, functional PBE.

Lattice parameters (Å, degrees): 6.862 6.862 6.862 90.00 90.00 90.00
Fractional positions:
Nb  0.250  0.250  0.250
Nb  0.250  0.250  0.750
Nb  0.250  0.750  0.250
Nb  0.250  0.750  0.750
Nb  0.750  0.250  0.250
Nb  0.750  0.250  0.750
Nb  0.750  0.750  0.250
Nb  0.750  0.750  0.750
Pb  0.000  0.000  0.000
Pb  0.000  0.500  0.500
Pb  0.500  0.000  0.500
Pb  0.500  0.500  0.000
Br  0.000  0.000  0.500
Br  0.000  0.500  0.000
Br  0.500  0.000  0.000
Br  0.500  0.500  0.500

## Properties
E ... -5.829 eV per atom